No. 1
Below is a relaxed structure of Zn2NiBr, with properties calculated at the GGA-PBE level.

Magnetization ... 0.000 μB/f.u.
Energy above the most stable polymorph in this dataset ... 1.32 eV per formula unit

a = 6.587 Å, b = 6.587 Å, c = 8.070 Å
α = 90.00°, β = 90.00°, γ = 90.00°
Space group I-42d (No. 122)
One atom of each set of equivalent atoms:
Zn (0.209, 0.250, 0.125) (multiplicity 8)
Ni (0.000, 0.000, 0.000) (multiplicity 4)
Br (0.000, 0.000, 0.500) (multiplicity 4)


No. 2
Below is a relaxed structure of ZnNi4Br, with properties calculated at the GGA-PBE level.

Magnetization ... 0.872 μB/f.u.

a = 6.883 Å, b = 6.883 Å, c = 6.883 Å
α = 90.00°, β = 90.00°, γ = 90.00°
Space group F-43m (No. 216)
One atom of each set of equivalent atoms:
Zn (0.000, 0.000, 0.000) (multiplicity 4)
Ni (0.126, 0.126, 0.374) (multiplicity 16)
Br (0.250, 0.250, 0.750) (multiplicity 4)


No. 3
Below is a relaxed structure of Zn2NiBr, with properties calculated at the GGA-PBE level.

Magnetization ... 0.541 μB/f.u.
Energy above the most stable polymorph in this dataset ... 2.24 eV per formula unit

a = 6.522 Å, b = 6.522 Å, c = 6.522 Å
α = 90.00°, β = 90.00°, γ = 90.00°
Space group F-43m (No. 216)
One atom of each set of equivalent atoms:
Zn (0.000, 0.000, 0.000) (multiplicity 4)
Zn (0.250, 0.250, 0.250) (multiplicity 4)
Ni (0.250, 0.250, 0.750) (multiplicity 4)
Br (0.000, 0.000, 0.500) (multiplicity 4)


No. 4
Below is a relaxed structure of Zn2NiBr, with properties calculated at the GGA-PBE level.

Magnetization ... 0.000 μB/f.u.
Energy above the most stable polymorph in this dataset ... 0.30 eV per formula unit

a = 3.515 Å, b = 3.337 Å, c = 6.394 Å
α = 90.00°, β = 90.20°, γ = 90.00°
Space group Pm (No. 6)
One atom of each set of equivalent atoms:
Zn (0.000, 0.000, 0.000) (multiplicity 1)
Zn (0.498, 0.500, 0.745) (multiplicity 1)
Ni (0.998, 0.000, 0.641) (multiplicity 1)
Br (0.996, 0.500, 0.316) (multiplicity 1)


No. 5
Below is a relaxed structure of Zn2NiBr, with properties calculated at the GGA-PBE level.

Magnetization ... 0.000 μB/f.u.
Energy above the most stable polymorph in this dataset ... 1.42 eV per formula unit

a = 3.241 Å, b = 3.834 Å, c = 5.860 Å
α = 90.00°, β = 90.00°, γ = 90.00°
Space group Pmmm (No. 47)
One atom of each set of equivalent atoms:
Zn (0.000, 0.000, 0.000) (multiplicity 1)
Zn (0.500, 0.500, 0.000) (multiplicity 1)
Ni (0.000, 0.500, 0.500) (multiplicity 1)
Br (0.500, 0.000, 0.500) (multiplicity 1)


No. 6
Below is a relaxed structure of Zn2NiBr, with properties calculated at the GGA-PBE level.

Magnetization ... 0.400 μB/f.u.
Energy above the most stable polymorph in this dataset ... 0.97 eV per formula unit

a = 3.4487 Å, b = 3.4487 Å, c = 21.2336 Å
α = 90.00°, β = 90.00°, γ = 120.00°
Space group R3m (No. 160, hexagonal axes)
One atom of each set of equivalent atoms:
Zn (0.0000, 0.0000, 0.0000) (multiplicity 3)
Zn (0.0000, 0.0000, 0.2533) (multiplicity 3)
Ni (0.0000, 0.0000, 0.5136) (multiplicity 3)
Br (0.0000, 0.0000, 0.7780) (multiplicity 3)


No. 7
Below is a relaxed structure of Zn2NiBr, with properties calculated at the GGA-PBE level.

Magnetization ... 0.001 μB/f.u.
Energy above the most stable polymorph in this dataset ... 1.21 eV per formula unit

a = 3.024 Å, b = 5.589 Å, c = 8.654 Å
α = 90.00°, β = 90.00°, γ = 90.00°
Space group Imm2 (No. 44)
One atom of each set of equivalent atoms:
Zn (0.000, 0.000, 0.000) (multiplicity 2)
Zn (0.000, 0.500, 0.245) (multiplicity 2)
Ni (0.000, 0.500, 0.724) (multiplicity 2)
Br (0.000, 0.000, 0.443) (multiplicity 2)


No. 8
Below is a relaxed structure of Zn2NiBr6, with properties calculated at the GGA-PBE level.

Magnetization ... 2.058 μB/f.u.

a = 12.608 Å, b = 3.887 Å, c = 11.093 Å
α = 90.00°, β = 97.55°, γ = 90.00°
Space group C2/m (No. 12)
One atom of each set of equivalent atoms:
Zn (0.207, 0.000, 0.250) (multiplicity 4)
Ni (0.000, 0.500, 0.500) (multiplicity 2)
Br (0.100, 0.500, 0.712) (multiplicity 4)
Br (0.123, 0.000, 0.443) (multiplicity 4)
Br (0.145, 0.500, 0.126) (multiplicity 4)


No. 9
Below is a relaxed structure of Zn2NiBr, with properties calculated at the GGA-PBE level.

Magnetization ... 0.000 μB/f.u.
Energy above the most stable polymorph in this dataset ... 0.54 eV per formula unit

a = 3.400 Å, b = 3.400 Å, c = 7.019 Å
α = 90.00°, β = 90.00°, γ = 90.00°
Space group P4mm (No. 99)
One atom of each set of equivalent atoms:
Zn (0.000, 0.000, 0.000) (multiplicity 1)
Zn (0.500, 0.500, 0.282) (multiplicity 1)
Ni (0.500, 0.500, 0.952) (multiplicity 1)
Br (0.000, 0.000, 0.484) (multiplicity 1)


No. 10
Below is a relaxed structure of Zn2NiBr, with properties calculated at the GGA-PBE level.

Magnetization ... 0.000 μB/f.u.
Energy above the most stable polymorph in this dataset ... 1.32 eV per formula unit

a = 3.341 Å, b = 5.546 Å, c = 7.822 Å
α = 90.00°, β = 90.00°, γ = 90.00°
Space group Cmm2 (No. 35)
One atom of each set of equivalent atoms:
Zn (0.000, 0.000, 0.000) (multiplicity 2)
Zn (0.000, 0.500, 0.255) (multiplicity 2)
Ni (0.000, 0.500, 0.777) (multiplicity 2)
Br (0.000, 0.000, 0.543) (multiplicity 2)


No. 11
Below is a relaxed structure of Zn3NiBr, with properties calculated at the GGA-PBE level.

Magnetization ... 0.000 μB/f.u.
Energy above the most stable polymorph in this dataset ... 0.00 eV per formula unit

a = 4.717 Å, b = 4.717 Å, c = 4.717 Å
α = 90.00°, β = 90.00°, γ = 90.00°
Space group Pm-3m (No. 221)
One atom of each set of equivalent atoms:
Zn (0.000, 0.000, 0.500) (multiplicity 3)
Ni (0.000, 0.000, 0.000) (multiplicity 1)
Br (0.500, 0.500, 0.500) (multiplicity 1)


No. 12
Below is a relaxed structure of ZrNi2Br, with properties calculated at the GGA-PBE level.

Magnetization ... 0.000 μB/f.u.
Energy above the most stable polymorph in this dataset ... 0.53 eV per formula unit

a = 3.443 Å, b = 3.443 Å, c = 5.753 Å
α = 90.00°, β = 90.00°, γ = 90.00°
Space group P4/mmm (No. 123)
One atom of each set of equivalent atoms:
Zr (0.000, 0.000, 0.000) (multiplicity 1)
Ni (0.500, 0.500, 0.210) (multiplicity 2)
Br (0.000, 0.000, 0.500) (multiplicity 1)


No. 13
Below is a relaxed structure of Zr2NiBr, with properties calculated at the GGA-PBE level.

Magnetization ... 0.000 μB/f.u.
Energy above the most stable polymorph in this dataset ... 0.97 eV per formula unit

a = 10.375 Å, b = 3.217 Å, c = 4.483 Å
α = 90.00°, β = 96.54°, γ = 90.00°
Space group Cm (No. 8)
One atom of each set of equivalent atoms:
Zr (0.000, 0.000, 0.000) (multiplicity 2)
Zr (0.213, 0.500, 0.588) (multiplicity 2)
Ni (0.451, 0.000, 0.512) (multiplicity 2)
Br (0.269, 0.000, 0.100) (multiplicity 2)


No. 14
Below is a relaxed structure of ZrNiBr, with properties calculated at the GGA-PBE level.

Magnetization ... 0.185 μB/f.u.

a = 3.5173 Å, b = 3.5173 Å, c = 6.4875 Å
α = 90.00°, β = 90.00°, γ = 120.00°
Space group P3m1 (No. 156)
One atom of each set of equivalent atoms:
Zr (0.0000, 0.0000, 0.0000) (multiplicity 1)
Ni (0.3333, 0.6667, 0.7665) (multiplicity 1)
Br (0.6667, 0.3333, 0.3050) (multiplicity 1)


No. 15
Below is a relaxed structure of ZrNi2Br, with properties calculated at the GGA-PBE level.

Magnetization ... 0.198 μB/f.u.
Energy above the most stable polymorph in this dataset ... 0.45 eV per formula unit

a = 3.279 Å, b = 3.223 Å, c = 6.973 Å
α = 90.00°, β = 103.29°, γ = 90.00°
Space group Pm (No. 6)
One atom of each set of equivalent atoms:
Zr (0.000, 0.000, 0.000) (multiplicity 1)
Ni (0.175, 0.000, 0.360) (multiplicity 1)
Ni (0.609, 0.500, 0.224) (multiplicity 1)
Br (0.363, 0.500, 0.721) (multiplicity 1)


No. 16
Below is a relaxed structure of Zr2NiBr, with properties calculated at the GGA-PBE level.

Magnetization ... 0.000 μB/f.u.
Energy above the most stable polymorph in this dataset ... 2.35 eV per formula unit

a = 5.936 Å, b = 5.936 Å, c = 11.798 Å
α = 90.00°, β = 90.00°, γ = 90.00°
Space group I-42d (No. 122)
One atom of each set of equivalent atoms:
Zr (0.201, 0.250, 0.125) (multiplicity 8)
Ni (0.000, 0.000, 0.000) (multiplicity 4)
Br (0.000, 0.000, 0.500) (multiplicity 4)


No. 17
Below is a relaxed structure of ZrNiBr, with properties calculated at the GGA-PBE level.

Magnetization ... 0.000 μB/f.u.

a = 6.252 Å, b = 6.252 Å, c = 6.252 Å
α = 90.00°, β = 90.00°, γ = 90.00°
Space group F-43m (No. 216)
One atom of each set of equivalent atoms:
Zr (0.000, 0.000, 0.000) (multiplicity 4)
Ni (0.250, 0.250, 0.750) (multiplicity 4)
Br (0.000, 0.000, 0.500) (multiplicity 4)


No. 18
Below is a relaxed structure of ZrNi2Br, with properties calculated at the GGA-PBE level.

Magnetization ... 0.000 μB/f.u.
Energy above the most stable polymorph in this dataset ... 1.54 eV per formula unit

a = 6.344 Å, b = 6.344 Å, c = 6.344 Å
α = 90.00°, β = 90.00°, γ = 90.00°
Space group F-43m (No. 216)
One atom of each set of equivalent atoms:
Zr (0.000, 0.000, 0.000) (multiplicity 4)
Ni (0.000, 0.000, 0.500) (multiplicity 4)
Ni (0.250, 0.250, 0.250) (multiplicity 4)
Br (0.250, 0.250, 0.750) (multiplicity 4)


No. 19
Below is a relaxed structure of ZrNi2Br, with properties calculated at the GGA-PBE level.

Magnetization ... 0.000 μB/f.u.
Energy above the most stable polymorph in this dataset ... 2.10 eV per formula unit

a = 6.395 Å, b = 6.395 Å, c = 6.395 Å
α = 90.00°, β = 90.00°, γ = 90.00°
Space group Fm-3m (No. 225)
One atom of each set of equivalent atoms:
Zr (0.000, 0.000, 0.000) (multiplicity 4)
Ni (0.250, 0.250, 0.250) (multiplicity 8)
Br (0.000, 0.000, 0.500) (multiplicity 4)


No. 20
Below is a relaxed structure of ZrNi2Br, with properties calculated at the GGA-PBE level.

Magnetization ... 0.000 μB/f.u.
Energy above the most stable polymorph in this dataset ... 1.07 eV per formula unit

a = 8.745 Å, b = 3.432 Å, c = 5.243 Å
α = 90.00°, β = 94.09°, γ = 90.00°
Space group C2/m (No. 12)
One atom of each set of equivalent atoms:
Zr (0.000, 0.000, 0.000) (multiplicity 2)
Ni (0.198, 0.500, 0.857) (multiplicity 4)
Br (0.000, 0.500, 0.500) (multiplicity 2)


No. 21
Below is a relaxed structure of ZrNi2Br, with properties calculated at the GGA-PBE level.

Magnetization ... 0.000 μB/f.u.
Energy above the most stable polymorph in this dataset ... 0.00 eV per formula unit

a = 3.8924 Å, b = 3.8924 Å, c = 6.1856 Å
α = 90.00°, β = 90.00°, γ = 120.00°
Space group P3m1 (No. 156)
One atom of each set of equivalent atoms:
Zr (0.0000, 0.0000, 0.0000) (multiplicity 1)
Ni (0.3333, 0.6667, 0.2747) (multiplicity 1)
Ni (0.6667, 0.3333, 0.2021) (multiplicity 1)
Br (0.3333, 0.6667, 0.6861) (multiplicity 1)


No. 22
Below is a relaxed structure of Zr4NiBr, with properties calculated at the GGA-PBE level.

Magnetization ... 0.000 μB/f.u.

a = 8.119 Å, b = 8.119 Å, c = 8.119 Å
α = 90.00°, β = 90.00°, γ = 90.00°
Space group F-43m (No. 216)
One atom of each set of equivalent atoms:
Zr (0.123, 0.123, 0.377) (multiplicity 16)
Ni (0.250, 0.250, 0.750) (multiplicity 4)
Br (0.000, 0.000, 0.000) (multiplicity 4)


No. 23
Below is a relaxed structure of Zr2NiBr, with properties calculated at the GGA-PBE level.

Magnetization ... 0.000 μB/f.u.
Energy above the most stable polymorph in this dataset ... 0.00 eV per formula unit

a = 6.827 Å, b = 3.810 Å, c = 7.470 Å
α = 90.00°, β = 113.22°, γ = 90.00°
Space group C2/m (No. 12)
One atom of each set of equivalent atoms:
Zr (0.246, 0.000, 0.325) (multiplicity 4)
Ni (0.000, 0.000, 0.500) (multiplicity 2)
Br (0.000, 0.500, 0.000) (multiplicity 2)


No. 24
Below is a relaxed structure of ZrNi2Br, with properties calculated at the GGA-PBE level.

Magnetization ... 0.000 μB/f.u.
Energy above the most stable polymorph in this dataset ... 1.23 eV per formula unit

a = 3.4033 Å, b = 3.4033 Å, c = 21.5993 Å
α = 90.00°, β = 90.00°, γ = 120.00°
Space group R-3m (No. 166, hexagonal axes)
One atom of each set of equivalent atoms:
Zr (0.0000, 0.0000, 0.0000) (multiplicity 3)
Ni (0.0000, 0.0000, 0.2530) (multiplicity 6)
Br (0.0000, 0.0000, 0.5000) (multiplicity 3)


No. 25
Below is a relaxed structure of Zr2NiBr, with properties calculated at the GGA-PBE level.

Magnetization ... 0.000 μB/f.u.
Energy above the most stable polymorph in this dataset ... 0.60 eV per formula unit

a = 3.184 Å, b = 3.177 Å, c = 7.549 Å
α = 90.00°, β = 90.07°, γ = 90.00°
Space group P2/m (No. 10)
One atom of each set of equivalent atoms:
Zr (0.001, 0.000, 0.216) (multiplicity 2)
Ni (0.500, 0.500, 0.000) (multiplicity 1)
Br (0.500, 0.500, 0.500) (multiplicity 1)


No. 26
Below is a relaxed structure of Zr2NiBr, with properties calculated at the GGA-PBE level.

Magnetization ... 0.000 μB/f.u.
Energy above the most stable polymorph in this dataset ... 1.40 eV per formula unit

a = 6.667 Å, b = 6.667 Å, c = 6.667 Å
α = 90.00°, β = 90.00°, γ = 90.00°
Space group Fm-3m (No. 225)
One atom of each set of equivalent atoms:
Zr (0.250, 0.250, 0.250) (multiplicity 8)
Ni (0.000, 0.000, 0.000) (multiplicity 4)
Br (0.000, 0.000, 0.500) (multiplicity 4)


No. 27
Below is a relaxed structure of ZrNi2Br, with properties calculated at the GGA-PBE level.

Magnetization ... 0.000 μB/f.u.
Energy above the most stable polymorph in this dataset ... 1.36 eV per formula unit

a = 3.102 Å, b = 4.570 Å, c = 8.988 Å
α = 90.00°, β = 90.00°, γ = 90.00°
Space group Immm (No. 71)
One atom of each set of equivalent atoms:
Zr (0.000, 0.000, 0.000) (multiplicity 2)
Ni (0.000, 0.500, 0.242) (multiplicity 4)
Br (0.000, 0.000, 0.500) (multiplicity 2)


No. 28
Below is a relaxed structure of ZrNiBr4, with properties calculated at the GGA-PBE level.

Magnetization ... 0.574 μB/f.u.

a = 8.484 Å, b = 8.484 Å, c = 8.484 Å
α = 90.00°, β = 90.00°, γ = 90.00°
Space group F-43m (No. 216)
One atom of each set of equivalent atoms:
Zr (0.000, 0.000, 0.000) (multiplicity 4)
Ni (0.250, 0.250, 0.250) (multiplicity 4)
Br (0.125, 0.125, 0.625) (multiplicity 16)


No. 29
Below is a relaxed structure of ZrNiBr, with properties calculated at the GGA-PBE level.

Magnetization ... 0.000 μB/f.u.

a = 6.351 Å, b = 6.351 Å, c = 6.351 Å
α = 90.00°, β = 90.00°, γ = 90.00°
Space group F-43m (No. 216)
One atom of each set of equivalent atoms:
Zr (0.000, 0.000, 0.000) (multiplicity 4)
Ni (0.250, 0.250, 0.250) (multiplicity 4)
Br (0.250, 0.250, 0.750) (multiplicity 4)


No. 30
Below is a relaxed structure of ZrNiBr, with properties calculated at the GGA-PBE level.

Magnetization ... 0.000 μB/f.u.

a = 4.4446 Å, b = 4.4446 Å, c = 3.0839 Å
α = 90.00°, β = 90.00°, γ = 120.00°
Space group P3m1 (No. 156)
One atom of each set of equivalent atoms:
Zr (0.0000, 0.0000, 0.0000) (multiplicity 1)
Ni (0.3333, 0.6667, 0.5026) (multiplicity 1)
Br (0.6667, 0.3333, 0.5003) (multiplicity 1)


Calculated ΔE_f (raw) (eV/atom), listed in the same order as above: 0.26 0.45 0.49 0.01 0.29 0.18 0.24 -0.63 0.07 0.26 0.11 -0.10 -0.18 -0.29 -0.12 0.16 0.23 0.15 0.29 0.03 -0.24 0.65 -0.43 0.07 -0.27 -0.07 0.10 0.98 0.13 0.01